1.
Material: CeSm3Pb3
Method: DFT, PBE-GGA
State: optimized geometry

Results
The formation energy comes out at -2.4 eV/f.u. For the final energy, the calculation gives -4.797 eV/atom. The space-group type is No. 176.

Unit cell a=5.601 b=9.472 c=9.472 alpha=120.00 beta=90.00 gamma=90.00
Last column: magnetic moment on the atom in μB.
Fractional positions:
Ce1 0.250 0.667 0.333  0.82
Ce2 0.750 0.333 0.667  0.82
Sm1 0.750 0.758 0.765  -0.01
Sm2 0.750 0.235 0.993  -0.01
Sm3 0.750 0.007 0.242  -0.01
Sm4 0.250 0.242 0.235  -0.01
Sm5 0.250 0.765 0.007  -0.01
Sm6 0.250 0.993 0.758  -0.01
Pb1 0.250 0.548 0.626  0.00
Pb2 0.250 0.374 0.923  0.00
Pb3 0.250 0.077 0.452  0.00
Pb4 0.750 0.452 0.374  0.00
Pb5 0.750 0.626 0.077  0.00
Pb6 0.750 0.923 0.548  0.00

2.
Material: Cd4SiNi
Method: DFT, PBE-GGA
State: optimized geometry

Results
For the final energy, the calculation gives -1.962 eV/atom. The space-group type is No. 216. The formation energy (no corrections) is 516 meV/atom.

Unit cell a=5.598 b=5.598 c=5.598 alpha=60.00 beta=60.00 gamma=60.00
Fractional positions:
Cd1 0.874 0.375 0.375
Cd2 0.375 0.375 0.874
Cd3 0.375 0.874 0.375
Cd4 0.375 0.375 0.375
Si1 0.000 0.000 0.000
Ni1 0.750 0.750 0.750

no.,Fermi-level density of states (states/eV/cell)
1,23.505
2,1.278